[1]
Below is an optimized crystal structure of CdPtRh2, with properties calculated at the PBE level.

Structure (POSCAR):
```
CdPtRh2
1.0
-2.006 2.006 3.921
2.006 -2.006 3.921
2.006 2.006 -3.921
Cd Pt Rh
1 1 2
Direct
0.500 0.500 0.000
0.000 0.000 0.000
0.750 0.250 0.500
0.250 0.750 0.500
```

---

[2]
Below is an optimized crystal structure of CdPt2Rh, with properties calculated at the PBE level.

Structure (POSCAR):
```
CdPt2Rh
1.0
6.326 0.003 0.009
-2.533 4.202 -0.004
1.260 0.765 2.417
Rh Pt Cd
1 2 1
Direct
0.000 0.500 0.500
0.000 0.000 0.000
0.500 0.000 0.500
0.500 0.500 0.000
```

---

[3]
Below is an optimized crystal structure of Cd4PtRh, with properties calculated at the PBE level.

Excess energy over the best structure of this formula in the dataset in kJ/mol of formula units: 230

Structure (POSCAR):
```
Cd4PtRh
1.0
5.141 0.132 -1.802
2.873 -4.615 -0.382
1.224 -2.050 -4.898
Cd Pt Rh
4 1 1
Direct
0.875 0.375 0.375
0.375 0.375 0.875
0.375 0.875 0.375
0.375 0.375 0.375
0.750 0.750 0.750
0.000 0.000 0.000
```

---

[4]
Below is an optimized crystal structure of CdPtRh2, with properties calculated at the PBE level.

Structure (POSCAR):
```
CdPtRh2
1.0
-1.579 0.018 -2.347
1.591 -4.337 -1.103
-3.614 -1.940 2.417
Cd Pt Rh
1 1 2
Direct
0.500 0.500 0.000
0.000 0.500 0.500
0.000 0.000 0.000
0.500 0.000 0.500
```

---

no.,ΔE_f (eV per atom)
1,-0.022
2,-0.149
3,0.253
4,0.060